Run w
Computed, not measured: a relaxed Be2GaS crystal at the PBE level of DFT.

The structure in POSCAR format:
```
Be2GaS
1.0
5.463 0.000 0.000
0.000 5.463 0.000
2.731 2.731 4.357
Be S Ga
4 2 2
Direct
0.576 0.125 0.250 Be
0.375 0.424 0.750 Be
0.174 0.625 0.250 Be
0.875 0.826 0.750 Be
0.500 0.500 0.000 S
0.250 0.750 0.500 S
0.000 0.000 0.000 Ga
0.750 0.250 0.500 Ga
```

Theoretical density: 3.060 g/cm³
D(E_F): 0.288 states/eV per atom
SG: No. 122

Run x
Computed, not measured: a relaxed Be2GaS crystal at the PBE level of DFT.

The structure in POSCAR format:
```
Be2GaS
1.0
-0.338 2.967 2.964
-2.087 3.561 -0.816
-3.716 0.728 1.834
Be Ga S
2 1 1
Direct
0.750 0.750 0.750 Be
0.250 0.250 0.250 Be
0.500 0.500 0.500 Ga
0.000 0.000 0.000 S
```

Theoretical density: 3.778 g/cm³
D(E_F): 0.443 states/eV per atom
SG: No. 225

Most stable: run w (next structure +688 meV/atom)

Run w
Computed, not measured: a relaxed BeGaS2 crystal at the PBE level of DFT.

The structure in POSCAR format:
```
BeGaS2
1.0
-1.299 -5.223 -1.168
4.433 -1.724 2.776
-1.155 -3.733 4.989
Be S Ga
2 4 2
Direct
0.250 0.750 0.500 Be
0.500 0.500 0.000 Be
0.560 0.125 0.250 S
0.375 0.440 0.750 S
0.875 0.810 0.750 S
0.190 0.625 0.250 S
0.750 0.250 0.500 Ga
0.000 0.000 0.000 Ga
```

Theoretical density: 3.129 g/cm³
D(E_F): 0.706 states/eV per atom
SG: No. 122

Run x
Computed, not measured: a relaxed BeGaS2 crystal at the PBE level of DFT.

The structure in POSCAR format:
```
BeGaS2
1.0
0.000 3.112 3.112
3.112 0.000 3.112
3.112 3.112 0.000
Ga S Be
1 2 1
Direct
0.500 0.500 0.500 Ga
0.750 0.750 0.750 S
0.250 0.250 0.250 S
0.000 0.000 0.000 Be
```

Theoretical density: 3.937 g/cm³
D(E_F): 0.625 states/eV per atom
SG: No. 225

Most stable: run w (next structure +863 meV/atom)

Run w
Computed, not measured: a relaxed BeGa3S crystal at the PBE level of DFT.

The structure in POSCAR format:
```
BeGa3S
1.0
-2.313 -1.247 4.102
2.858 -3.922 0.419
3.195 2.606 2.594
Ga Be S
3 1 1
Direct
0.500 0.000 0.000 Ga
0.000 0.500 0.000 Ga
0.000 0.000 0.500 Ga
0.500 0.500 0.500 Be
0.000 0.000 0.000 S
```

Theoretical density: 3.596 g/cm³
D(E_F): 0.596 states/eV per atom
SG: No. 221

Run x
Computed, not measured: a relaxed BeGa3S crystal at the PBE level of DFT.

The structure in POSCAR format:
```
BeGa3S
1.0
4.490 0.000 0.000
0.000 4.490 0.000
0.000 0.000 4.490
Ga Be S
3 1 1
Direct
0.500 0.000 0.000 Ga
0.000 0.500 0.000 Ga
0.000 0.000 0.500 Ga
0.000 0.000 0.000 Be
0.500 0.500 0.500 S
```

Theoretical density: 4.589 g/cm³
D(E_F): 0.251 states/eV per atom
SG: No. 221

Most stable: run x (next structure +672 meV/atom)

Run w
Computed, not measured: a relaxed BeGa2S4 crystal at the PBE level of DFT.

The structure in POSCAR format:
```
BeGa2S4
1.0
5.213 0.000 0.000
0.000 5.213 0.000
-2.607 -2.607 5.064
S Ga Be
4 2 1
Direct
0.855 0.370 0.225 S
0.145 0.145 0.775 S
0.630 0.630 0.775 S
0.370 0.855 0.225 S
0.750 0.250 0.500 Ga
0.250 0.750 0.500 Ga
0.500 0.500 0.000 Be
```

Theoretical density: 3.339 g/cm³
D(E_F): 0.000 states/eV per atom
SG: No. 121

Run x
Computed, not measured: a relaxed BeGa2S4 crystal at the PBE level of DFT.

The structure in POSCAR format:
```
BeGa2S4
1.0
-3.426 -3.906 1.497
0.365 -2.207 -4.923
6.077 -0.236 3.526
Be Ga S
1 2 4
Direct
0.000 0.000 0.000 Be
0.000 0.500 0.000 Ga
0.500 0.000 0.000 Ga
0.885 0.885 0.219 S
0.334 0.334 0.219 S
0.115 0.666 0.781 S
0.666 0.115 0.781 S
```

Theoretical density: 2.664 g/cm³
D(E_F): 0.000 states/eV per atom
SG: No. 121

Most stable: run w (next structure +106 meV/atom)